No. 1
# GGA-PBE Tm2ThPd8, relaxed
data_Tm2ThPd8
_chemical_formula_sum 'Tm4 Th2 Pd16'
_cell_length_a 14.887
_cell_length_b 4.227
_cell_length_c 6.764
_cell_angle_alpha 90.00
_cell_angle_beta 108.04
_cell_angle_gamma 90.00
_symmetry_space_group_name_H-M 'C 1 2/m 1'
_symmetry_Int_Tables_number 12
_symmetry_space_group_name_Hall '-C 2y'
loop_
_atom_site_label
_atom_site_type_symbol
_atom_site_fract_x
_atom_site_fract_y
_atom_site_fract_z
Tm1 Tm 0.218 0.000 0.165
Th1 Th 0.000 0.500 0.500
Pd1 Pd 0.038 0.000 0.219
Pd2 Pd 0.094 0.500 0.952
Pd3 Pd 0.144 0.000 0.687
Pd4 Pd 0.179 0.500 0.409
# - uncorrected energy (eV/atom) = -6.085
# - calculated formation energy (eV/f.u.) = -9.03

---

No. 2
# GGA-PBE Pr2Dy5Tm2, relaxed
data_Pr2Dy5Tm2
_chemical_formula_sum 'Pr8 Dy20 Tm8'
_cell_length_a 14.895
_cell_length_b 11.844
_cell_length_c 6.712
_cell_angle_alpha 90.00
_cell_angle_beta 90.00
_cell_angle_gamma 90.00
_symmetry_space_group_name_H-M 'I m a 2'
_symmetry_Int_Tables_number 46
_symmetry_space_group_name_Hall 'I 2 -2a'
loop_
_atom_site_label
_atom_site_type_symbol
_atom_site_fract_x
_atom_site_fract_y
_atom_site_fract_z
Pr1 Pr 0.000 0.000 0.000
Pr2 Pr 0.250 0.008 0.912
Dy1 Dy 0.053 0.746 0.310
Dy2 Dy 0.142 0.234 0.119
Dy3 Dy 0.250 0.743 0.114
Tm1 Tm 0.126 0.502 0.958
# - ΔE to the lowest computed polymorph (eV/atom) = 0.0000
# - uncorrected energy (eV/atom) = -4.394
# - calculated formation energy (eV/f.u.) = 1.97

---

No. 3
# GGA-PBE Ni2Ir15Rh2, relaxed
data_Ni2Ir15Rh2
_chemical_formula_sum 'Ni6 Ir45 Rh6'
_cell_length_a 8.7945
_cell_length_b 8.7945
_cell_length_c 13.5193
_cell_angle_alpha 90.00
_cell_angle_beta 90.00
_cell_angle_gamma 120.00
_symmetry_space_group_name_H-M 'R -3 m'
_symmetry_Int_Tables_number 166
_symmetry_space_group_name_Hall '-R 3 2"'
loop_
_atom_site_label
_atom_site_type_symbol
_atom_site_fract_x
_atom_site_fract_y
_atom_site_fract_z
Ni1 Ni 0.0000 0.0000 0.0881
Ir1 Ir 0.0000 0.2971 0.0000
Ir2 Ir 0.0000 0.5000 0.5000
Ir3 Ir 0.0100 0.5050 0.1407
Rh1 Rh 0.0000 0.0000 0.2723
# - uncorrected energy (eV/atom) = -7.902
# - calculated formation energy (eV/f.u.) = 9.03

---

No. 4
# GGA-PBE Dy3Ga4Pd7, relaxed
data_Dy3Ga4Pd7
_chemical_formula_sum 'Dy6 Ga8 Pd14'
_cell_length_a 15.617
_cell_length_b 4.141
_cell_length_c 9.571
_cell_angle_alpha 90.00
_cell_angle_beta 125.18
_cell_angle_gamma 90.00
_symmetry_space_group_name_H-M 'C 1 2/m 1'
_symmetry_Int_Tables_number 12
_symmetry_space_group_name_Hall '-C 2y'
loop_
_atom_site_label
_atom_site_type_symbol
_atom_site_fract_x
_atom_site_fract_y
_atom_site_fract_z
Dy1 Dy 0.000 0.000 0.000
Dy2 Dy 0.173 0.500 0.666
Ga1 Ga 0.113 0.000 0.836
Ga2 Ga 0.162 0.500 0.270
Pd1 Pd 0.000 0.000 0.500
Pd2 Pd 0.005 0.500 0.286
Pd3 Pd 0.162 0.000 0.425
Pd4 Pd 0.192 0.500 0.039
# - uncorrected energy (eV/atom) = -5.301
# - calculated formation energy (eV/f.u.) = -11.95

---

Copy entry 3 word for word.
# GGA-PBE Ni2Ir15Rh2, relaxed
data_Ni2Ir15Rh2
_chemical_formula_sum 'Ni6 Ir45 Rh6'
_cell_length_a 8.7945
_cell_length_b 8.7945
_cell_length_c 13.5193
_cell_angle_alpha 90.00
_cell_angle_beta 90.00
_cell_angle_gamma 120.00
_symmetry_space_group_name_H-M 'R -3 m'
_symmetry_Int_Tables_number 166
_symmetry_space_group_name_Hall '-R 3 2"'
loop_
_atom_site_label
_atom_site_type_symbol
_atom_site_fract_x
_atom_site_fract_y
_atom_site_fract_z
Ni1 Ni 0.0000 0.0000 0.0881
Ir1 Ir 0.0000 0.2971 0.0000
Ir2 Ir 0.0000 0.5000 0.5000
Ir3 Ir 0.0100 0.5050 0.1407
Rh1 Rh 0.0000 0.0000 0.2723
# - uncorrected energy (eV/atom) = -7.902
# - calculated formation energy (eV/f.u.) = 9.03

---

- Which formula does entry 3 have?
  Ni2Ir15Rh2

---

- Which value of calculated formation energy does entry 1 give?
  -9.03 eV/f.u.

---

- Which value of uncorrected energy does entry 3 give?
  -7.902 eV/atom